This record from the Alexandria database describes a geometry-optimized K4CrF6 structure. The functional is PBE+U.

a = 10.3335 Å, b = 10.3335 Å, c = 12.7876 Å
α = 90.00°, β = 90.00°, γ = 120.00°
Closest atoms and distances in Å follow each position.
Space group R-3c (No. 167, hexagonal axes)
Inequivalent atoms, fractional coordinates:
K  0.0000  0.0000  0.2500 (multiplicity 6)  6 F 2.62
K  0.0000  0.3636  0.2500 (multiplicity 18)  8 F 2.77-2.96
Cr  0.0000  0.0000  0.0000 (multiplicity 6)  6 F 2.15
F  0.0266  0.1809  0.4023 (multiplicity 36)  1 Cr 2.15

Values from the calculation:
DFT total energy ... -4.742 eV per atom